Compound: AcUFeO6
Source: the Alexandria database
Functional: PBE+U
Structure: relaxed

Properties
Magnetization in μB per formula unit: 1.01
E in eV for the cell shown: -74.3
N(E_F) in states/eV/f.u.: 0.00

Cell lengths 5.3437, 5.3513, 5.4705 Å; angles 89.99, 89.98, 60.05 degrees
Positions (direct):
Ac 0.0004 0.9990 0.0000
U 0.3340 0.3319 0.5000
Fe 0.6671 0.6659 0.5000
O 0.9858 0.3744 0.2933
O 0.3771 0.9861 0.7088
O 0.6396 0.3745 0.7068
O 0.9847 0.6411 0.7049
O 0.3743 0.6409 0.2950
O 0.6367 0.9861 0.2912